## one
# BiBAs2Br, optimized geometry, DFT PBE
# Crystal system: tetragonal
# Density of states at the Fermi level in states/eV per cell: 4.359
# Spin magnetization in μB per cell: 0.00
data_BiBAs2Br
_space_group_name_H-M_alt 'P 4/m m m'
_space_group_IT_number 123
_space_group_name_Hall '-P 4 2'
_cell_length_a 4.679
_cell_length_b 4.679
_cell_length_c 4.608
_cell_angle_alpha 90.00
_cell_angle_beta 90.00
_cell_angle_gamma 90.00
loop_
_atom_site_label
_atom_site_fract_x
_atom_site_fract_y
_atom_site_fract_z
Bi1 0.000 0.000 0.000
B1 0.500 0.500 0.500
As1 0.000 0.500 0.500
Br1 0.500 0.500 0.000


## two
# BiBAs2Br, optimized geometry, DFT PBE
# Crystal system: tetragonal
# Density of states at the Fermi level in states/eV per cell: 3.201
# Spin magnetization in μB per cell: 1.42
data_BiBAs2Br
_space_group_name_H-M_alt 'P 4/m m m'
_space_group_IT_number 123
_space_group_name_Hall '-P 4 2'
_cell_length_a 5.530
_cell_length_b 5.530
_cell_length_c 5.773
_cell_angle_alpha 90.00
_cell_angle_beta 90.00
_cell_angle_gamma 90.00
loop_
_atom_site_label
_atom_site_fract_x
_atom_site_fract_y
_atom_site_fract_z
Bi1 0.000 0.000 0.000
B1 0.500 0.500 0.500
As1 0.000 0.500 0.000
Br1 0.000 0.000 0.500


It is two that is the least stable of them.


## one
# BiBAsBr2, optimized geometry, DFT PBE
# Crystal system: tetragonal
# Density of states at the Fermi level in states/eV per cell: 3.074
# Spin magnetization in μB per cell: 0.68
data_BiBAsBr2
_space_group_name_H-M_alt 'P 4/m m m'
_space_group_IT_number 123
_space_group_name_Hall '-P 4 2'
_cell_length_a 5.724
_cell_length_b 5.724
_cell_length_c 5.654
_cell_angle_alpha 90.00
_cell_angle_beta 90.00
_cell_angle_gamma 90.00
loop_
_atom_site_label
_atom_site_fract_x
_atom_site_fract_y
_atom_site_fract_z
Bi1 0.000 0.000 0.000
B1 0.500 0.500 0.500
As1 0.000 0.000 0.500
Br1 0.000 0.500 0.000


## two
# BiBAsBr2, optimized geometry, DFT PBE
# Crystal system: tetragonal
# Density of states at the Fermi level in states/eV per cell: 1.852
# Spin magnetization in μB per cell: 0.00
data_BiBAsBr2
_space_group_name_H-M_alt 'P 4/m m m'
_space_group_IT_number 123
_space_group_name_Hall '-P 4 2'
_cell_length_a 4.629
_cell_length_b 4.629
_cell_length_c 5.010
_cell_angle_alpha 90.00
_cell_angle_beta 90.00
_cell_angle_gamma 90.00
loop_
_atom_site_label
_atom_site_fract_x
_atom_site_fract_y
_atom_site_fract_z
Bi1 0.000 0.000 0.000
B1 0.500 0.500 0.500
As1 0.500 0.500 0.000
Br1 0.000 0.500 0.500


It is one that is the least stable of them.


## one
# BiBAs2Se, optimized geometry, DFT PBE
# Crystal system: tetragonal
# Density of states at the Fermi level in states/eV per cell: 4.346
# Spin magnetization in μB per cell: 0.00
data_BiBAs2Se
_space_group_name_H-M_alt 'P 4/m m m'
_space_group_IT_number 123
_space_group_name_Hall '-P 4 2'
_cell_length_a 4.606
_cell_length_b 4.606
_cell_length_c 4.551
_cell_angle_alpha 90.00
_cell_angle_beta 90.00
_cell_angle_gamma 90.00
loop_
_atom_site_label
_atom_site_fract_x
_atom_site_fract_y
_atom_site_fract_z
Bi1 0.000 0.000 0.000
B1 0.500 0.500 0.500
As1 0.000 0.500 0.500
Se1 0.500 0.500 0.000


## two
# BiBAs2Se, optimized geometry, DFT PBE
# Crystal system: tetragonal
# Density of states at the Fermi level in states/eV per cell: 4.799
# Spin magnetization in μB per cell: 1.36
data_BiBAs2Se
_space_group_name_H-M_alt 'P 4/m m m'
_space_group_IT_number 123
_space_group_name_Hall '-P 4 2'
_cell_length_a 5.482
_cell_length_b 5.482
_cell_length_c 5.582
_cell_angle_alpha 90.00
_cell_angle_beta 90.00
_cell_angle_gamma 90.00
loop_
_atom_site_label
_atom_site_fract_x
_atom_site_fract_y
_atom_site_fract_z
Bi1 0.000 0.000 0.000
B1 0.500 0.500 0.500
As1 0.000 0.500 0.000
Se1 0.000 0.000 0.500


It is two that is the least stable of them.